Model P:
First-principles (PBE) data for an optimized crystal structure of Li3LaSi, as listed in Alexandria via LeMat-Bulk.

abc: 4.7248 4.7248 4.7248
angles: 90.00 90.00 90.00
With the nearest neighbours (Å) after each atom.
Fractional coordinates of all 5 atoms:
Li: 0.0000 0.0000 0.5000  2 Si 2.36
Li: 0.0000 0.5000 0.0000  2 Si 2.36
Li: 0.5000 0.0000 0.0000  2 Si 2.36
La: 0.5000 0.5000 0.5000  12 Li 3.34
Si: 0.0000 0.0000 0.0000  6 Li 2.36

Summary:
Space-group type = Pm-3m
DOS(E_F) = 0.6 states/eV/f.u.

Model Q:
First-principles (PBE) data for an optimized crystal structure of Li3LaSi, as listed in Alexandria via LeMat-Bulk.

abc: 5.2970 5.2970 5.2970
angles: 90.00 90.00 90.00
With the nearest neighbours (Å) after each atom.
Fractional coordinates of all 5 atoms:
Li: 0.0000 0.0000 0.5000  2 La 2.65
Li: 0.0000 0.5000 0.0000  2 La 2.65
Li: 0.5000 0.0000 0.0000  2 La 2.65
La: 0.0000 0.0000 0.0000  6 Li 2.65
Si: 0.5000 0.5000 0.5000  12 Li 3.75

Summary:
Space-group type = Pm-3m
DOS(E_F) = 4.4 states/eV/f.u.

Which is most stable? The ranking, best first, is model P, model Q.

Model P:
First-principles (PBE) data for an optimized crystal structure of Li2LaSm, as listed in Alexandria via LeMat-Bulk.

abc: 5.4247 5.4247 5.4247
angles: 60.00 60.00 60.00
With the nearest neighbours (Å) after each atom.
Fractional coordinates of all 4 atoms:
Li: 0.2500 0.2500 0.2500  4 Sm 3.32, 4 La 3.32
Li: 0.7500 0.7500 0.7500  4 Sm 3.32, 4 La 3.32
La: 0.0000 0.0000 0.0000  8 Li 3.32
Sm: 0.5000 0.5000 0.5000  8 Li 3.32

Summary:
Space-group type = Fm-3m
DOS(E_F) = 6.1 states/eV/f.u.

Model Q:
First-principles (PBE) data for an optimized crystal structure of Li2LaSm, as listed in Alexandria via LeMat-Bulk.

abc: 12.3382 12.3382 12.3382
angles: 15.71 15.71 15.71
With the nearest neighbours (Å) after each atom.
Fractional coordinates of all 4 atoms:
Li: 0.0895 0.0895 0.0895  1 La 3.27, 6 Li 3.37, 3 Sm 3.43
Li: 0.9105 0.9105 0.9105  1 La 3.27, 6 Li 3.37, 3 Sm 3.43
La: 0.0000 0.0000 0.0000  2 Li 3.27, 6 La 3.37
Sm: 0.5000 0.5000 0.5000  6 Sm 3.37, 6 Li 3.43

Summary:
Space-group type = R-3m
DOS(E_F) = 5.2 states/eV/f.u.

Which is most stable? The ranking, best first, is model P, model Q.

Model P:
First-principles (PBE) data for an optimized crystal structure of LiLaSm, as listed in Alexandria via LeMat-Bulk.

abc: 3.7862 3.7862 13.4533
angles: 92.05 92.05 58.86
With the nearest neighbours (Å) after each atom.
Fractional coordinates of all 6 atoms:
Li: 0.1659 0.1659 0.0353  3 Li 2.35-2.38
Li: 0.8341 0.8341 0.9647  3 Li 2.35-2.38
La: 0.1615 0.1615 0.3961  3 Sm 3.43-3.58, 9 La 3.52-3.79
La: 0.8385 0.8385 0.6039  3 Sm 3.43-3.58, 9 La 3.52-3.79
Sm: 0.4980 0.4980 0.1937  3 Li 2.99-3.07
Sm: 0.5020 0.5020 0.8063  3 Li 2.99-3.07

Summary:
Space-group type = C2/m
DOS(E_F) = 3.7 states/eV/f.u.

Model Q:
First-principles (PBE) data for an optimized crystal structure of LiLaSm, as listed in Alexandria via LeMat-Bulk.

abc: 3.5871 3.5871 8.5317
angles: 90.00 90.00 120.00
With the nearest neighbours (Å) after each atom.
Fractional coordinates of all 3 atoms:
Li: 0.0000 0.0000 0.0000  3 Sm 3.43, 3 La 3.51, 6 Li 3.59
La: 0.3333 0.6667 0.6674  3 Li 3.51, 6 La 3.59, 3 Sm 3.61
Sm: 0.6667 0.3333 0.3208  3 Li 3.43, 6 Sm 3.59, 3 La 3.61

Summary:
Space-group type = P3m1
DOS(E_F) = 3.3 states/eV/f.u.

Model R:
First-principles (PBE) data for an optimized crystal structure of LiLaSm, as listed in Alexandria via LeMat-Bulk.

abc: 6.9107 6.9107 6.9107
angles: 148.17 148.17 45.64
With the nearest neighbours (Å) after each atom.
Fractional coordinates of all 3 atoms:
Li: 0.0000 0.0000 0.0000  4 Sm 3.27, 4 La 3.36
La: 0.3405 0.3405 0.0000  4 Li 3.36, 4 Sm 3.64
Sm: 0.6468 0.6468 0.0000  4 Li 3.27, 4 La 3.64

Summary:
Space-group type = I4mm
DOS(E_F) = 4.6 states/eV/f.u.

Which is most stable? The ranking, best first, is model R, model Q, model P.

Model P:
First-principles (PBE) data for an optimized crystal structure of LiLa2Sn3, as listed in Alexandria via LeMat-Bulk.

abc: 6.2861 6.2861 7.6742
angles: 125.69 125.69 44.78
With the nearest neighbours (Å) after each atom.
Fractional coordinates of all 6 atoms:
Li: 0.0000 0.0000 0.0000  4 Sn 2.75-2.96
La: 0.6192 0.6192 0.7807  8 Sn 3.28-3.63, 3 Li 3.61-3.66
La: 0.7206 0.7206 0.3966  8 Sn 3.38-3.74, 3 Li 3.42-3.61
Sn: 0.0143 0.0143 0.3990  1 Li 2.96, 3 Sn 3.05-3.15
Sn: 0.3054 0.3054 0.1840  1 Li 2.88, 3 Sn 3.05-3.19
Sn: 0.3538 0.3538 0.8189  2 Li 2.75

Summary:
Space-group type = Cm
DOS(E_F) = 3.7 states/eV/f.u.

Model Q:
First-principles (PBE) data for an optimized crystal structure of LiLa2Sn3, as listed in Alexandria via LeMat-Bulk.

abc: 4.3997 4.7777 8.0800
angles: 90.00 90.00 90.00
With the nearest neighbours (Å) after each atom.
Fractional coordinates of all 6 atoms:
Li: 0.0000 0.0000 0.0000  3 Sn 2.61
La: 0.5000 0.0000 0.6687  10 Sn 3.46-3.63, 2 Li 3.46
La: 0.5000 0.5000 0.1886  8 Sn 3.39-3.47, 4 Li 3.59
Sn: 0.0000 0.0000 0.3234  1 Li 2.61, 2 Sn 2.87
Sn: 0.0000 0.5000 0.5208  3 Sn 2.82-2.87
Sn: 0.0000 0.5000 0.8697  2 Li 2.61, 1 Sn 2.82

Summary:
Space-group type = Pmm2
DOS(E_F) = 3.7 states/eV/f.u.

Which is most stable? The ranking, best first, is model P, model Q.

Model P:
First-principles (PBE) data for an optimized crystal structure of SrLi2La2, as listed in Alexandria via LeMat-Bulk.

abc: 9.4646 9.4646 3.6267
angles: 90.00 90.00 90.00
With the nearest neighbours (Å) after each atom.
Fractional coordinates of all 10 atoms:
Sr: 0.0000 0.0000 0.0000  2 Sr 3.63, 4 La 3.80, 8 Li 3.93
Sr: 0.5000 0.5000 0.0000  2 Sr 3.63, 4 La 3.80, 8 Li 3.93
Li: 0.1764 0.3236 0.5000  6 La 3.33-3.35, 2 Li 3.63
Li: 0.3236 0.8236 0.5000  6 La 3.33-3.35, 2 Li 3.63
Li: 0.6764 0.1764 0.5000  6 La 3.33-3.35, 2 Li 3.63
Li: 0.8236 0.6764 0.5000  6 La 3.33-3.35, 2 Li 3.63
La: 0.1150 0.6150 0.0000  1 La 3.08, 6 Li 3.33-3.35
La: 0.3850 0.1150 0.0000  1 La 3.08, 6 Li 3.33-3.35
La: 0.6150 0.8850 0.0000  1 La 3.08, 6 Li 3.33-3.35
La: 0.8850 0.3850 0.0000  1 La 3.08, 6 Li 3.33-3.35

Summary:
Space-group type = P4/mbm
DOS(E_F) = 7.0 states/eV/f.u.

Model Q:
First-principles (PBE) data for an optimized crystal structure of SrLi2La2, as listed in Alexandria via LeMat-Bulk.

abc: 9.5402 9.5402 3.7197
angles: 90.00 90.00 90.00
With the nearest neighbours (Å) after each atom.
Fractional coordinates of all 10 atoms:
Sr: 0.0000 0.0000 0.0000  4 Li 3.55, 2 Sr 3.72
Sr: 0.5000 0.5000 0.0000  4 Li 3.55, 2 Sr 3.72
Li: 0.1686 0.3314 0.0000  6 La 3.36-3.39, 2 Sr 3.55, 2 Li 3.72
Li: 0.3314 0.8314 0.0000  6 La 3.36-3.39, 2 Sr 3.55, 2 Li 3.72
Li: 0.6686 0.1686 0.0000  6 La 3.36-3.39, 2 Sr 3.55, 2 Li 3.72
Li: 0.8314 0.6686 0.0000  6 La 3.36-3.39, 2 Sr 3.55, 2 Li 3.72
La: 0.1211 0.6211 0.5000  1 La 3.27, 6 Li 3.36-3.39
La: 0.3789 0.1211 0.5000  1 La 3.27, 6 Li 3.36-3.39
La: 0.6211 0.8789 0.5000  1 La 3.27, 6 Li 3.36-3.39
La: 0.8789 0.3789 0.5000  1 La 3.27, 6 Li 3.36-3.39

Summary:
Space-group type = P4/mbm
DOS(E_F) = 5.9 states/eV/f.u.

Model R:
First-principles (PBE) data for an optimized crystal structure of SrLi2La2, as listed in Alexandria via LeMat-Bulk.

abc: 7.0412 7.0412 7.0412
angles: 134.57 134.57 66.20
With the nearest neighbours (Å) after each atom.
Fractional coordinates of all 5 atoms:
Sr: 0.0000 0.0000 0.0000  8 Li 4.01, 10 La 4.10-4.47
Li: 0.2500 0.7500 0.5000  4 La 3.12
Li: 0.7500 0.2500 0.5000  4 La 3.12
La: 0.3789 0.3789 0.0000  1 La 2.86, 4 Li 3.12
La: 0.6211 0.6211 0.0000  1 La 2.86, 4 Li 3.12

Summary:
Space-group type = I4/mmm
DOS(E_F) = 3.9 states/eV/f.u.

Which is most stable? The ranking, best first, is model P, model Q, model R.

Model P:
First-principles (PBE) data for an optimized crystal structure of Sr2LiLa, as listed in Alexandria via LeMat-Bulk.

abc: 12.6626 12.6626 12.6626
angles: 17.96 17.96 17.96
With the nearest neighbours (Å) after each atom.
Fractional coordinates of all 4 atoms:
Sr: 0.2455 0.2455 0.2455  3 Li 3.73, 6 Sr 3.95, 3 La 4.00
Sr: 0.7545 0.7545 0.7545  3 Li 3.73, 6 Sr 3.95, 3 La 4.00
Li: 0.5000 0.5000 0.5000  6 Sr 3.73, 6 Li 3.95
La: 0.0000 0.0000 0.0000  6 La 3.95, 6 Sr 4.00

Summary:
Space-group type = R-3m
DOS(E_F) = 5.0 states/eV/f.u.

Model Q:
First-principles (PBE) data for an optimized crystal structure of Sr2LiLa, as listed in Alexandria via LeMat-Bulk.

abc: 4.3810 6.0985 6.2636
angles: 90.00 90.00 90.00
With the nearest neighbours (Å) after each atom.
Fractional coordinates of all 4 atoms:
Sr: 0.0000 0.0000 0.0000  4 La 3.75, 4 Sr 3.82
Sr: 0.5000 0.0000 0.5000  4 Li 3.75, 4 Sr 3.82
Li: 0.0000 0.5000 0.5000  4 Sr 3.75, 4 La 3.82
La: 0.5000 0.5000 0.0000  4 Sr 3.75, 4 Li 3.82

Summary:
Space-group type = Pmmm
DOS(E_F) = 5.8 states/eV/f.u.

Which is most stable? The ranking, best first, is model P, model Q.